Computed, not measured: a geometry-optimized Sc4Ga2H structure at the PBE level of DFT.

## Properties
For the total DFT energy (no corrections), the calculation gives -5.479 eV per atom. Its polymorph energy (0 for the lowest one) is 0 meV/atom. The total magnetization is 0.000 μB/atom.

Geometry as CIF:
```
data_Sc4Ga2H
_chemical_formula_sum 'Sc8 Ga4 H2'
_cell_length_a 5.496
_cell_length_b 6.113
_cell_length_c 8.076
_cell_angle_alpha 90.00
_cell_angle_beta 106.71
_cell_angle_gamma 90.00
_space_group_name_H-M_alt 'P 1 21/m 1'
_space_group_IT_number 11
_space_group_name_Hall '-P 2yb'
loop_
_atom_site_label
_atom_site_type_symbol
_atom_site_fract_x
_atom_site_fract_y
_atom_site_fract_z
_atom_site_occupancy
Sc1 Sc 0.178 0.250 0.075 1
Sc2 Sc 0.266 0.501 0.734 1
Sc3 Sc 0.284 0.750 0.374 1
Ga1 Ga 0.204 0.250 0.424 1
Ga2 Ga 0.351 0.750 0.041 1
H1 H 0.070 0.250 0.803 1
```

***

Computed, not measured: a geometry-optimized BaRuS3 structure at the PBE level of DFT.

## Properties
The value obtained for the energy relative to the elements, uncorrected is 1.282 eV/atom. For the total DFT energy (no corrections), the calculation gives -3.434 eV per atom. Its polymorph energy (0 for the lowest one) is 2026 meV/atom. The total magnetization is 1.200 μB/atom.

Geometry as CIF:
```
data_BaRuS3
_chemical_formula_sum 'Ba1 Ru1 S3'
_cell_length_a 5.727
_cell_length_b 5.727
_cell_length_c 5.727
_cell_angle_alpha 90.00
_cell_angle_beta 90.00
_cell_angle_gamma 90.00
_space_group_name_H-M_alt 'P m -3 m'
_space_group_IT_number 221
_space_group_name_Hall '-P 4 2 3'
loop_
_atom_site_label
_atom_site_type_symbol
_atom_site_fract_x
_atom_site_fract_y
_atom_site_fract_z
_atom_site_occupancy
Ba1 Ba 0.000 0.000 0.000 1
Ru1 Ru 0.500 0.500 0.500 1
S1 S 0.000 0.000 0.500 1
```

***

Computed, not measured: a geometry-optimized Cs2CaNiBi structure at the PBE level of DFT.

## Properties
For the total DFT energy (no corrections), the calculation gives -2.004 eV per atom. For the formation energy, the calculation gives 0.67 eV per atom. The total magnetization is 0.224 μB/atom.

Geometry as CIF:
```
data_Cs2CaNiBi
_chemical_formula_sum 'Cs2 Ca1 Ni1 Bi1'
_cell_length_a 7.805
_cell_length_b 7.805
_cell_length_c 5.725
_cell_angle_alpha 90.00
_cell_angle_beta 90.00
_cell_angle_gamma 90.00
_space_group_name_H-M_alt 'P 4/m m m'
_space_group_IT_number 123
_space_group_name_Hall '-P 4 2'
loop_
_atom_site_label
_atom_site_type_symbol
_atom_site_fract_x
_atom_site_fract_y
_atom_site_fract_z
_atom_site_occupancy
Cs1 Cs 0.000 0.500 0.000 1
Ca1 Ca 0.000 0.000 0.000 1
Ni1 Ni 0.500 0.500 0.500 1
Bi1 Bi 0.000 0.000 0.500 1
```

***

Computed, not measured: a geometry-optimized Mg6CuSnO8 structure at the PBE level of DFT.

## Properties
The value obtained for the energy relative to the elements, uncorrected is -2.130 eV/atom. For the total DFT energy (no corrections), the calculation gives -5.713 eV per atom. Its polymorph energy (0 for the lowest one) is 0 meV/atom. The total magnetization is 0.000 μB/atom.

Geometry as CIF:
```
data_Mg6CuSnO8
_chemical_formula_sum 'Mg6 Cu1 Sn1 O8'
_cell_length_a 4.346
_cell_length_b 4.346
_cell_length_c 8.983
_cell_angle_alpha 90.00
_cell_angle_beta 90.00
_cell_angle_gamma 90.00
_space_group_name_H-M_alt 'P 4/m m m'
_space_group_IT_number 123
_space_group_name_Hall '-P 4 2'
loop_
_atom_site_label
_atom_site_type_symbol
_atom_site_fract_x
_atom_site_fract_y
_atom_site_fract_z
_atom_site_occupancy
Mg1 Mg 0.000 0.000 0.000 1
Mg2 Mg 0.000 0.500 0.237 1
Mg3 Mg 0.500 0.500 0.000 1
Cu1 Cu 0.000 0.000 0.500 1
Sn1 Sn 0.500 0.500 0.500 1
O1 O 0.000 0.000 0.230 1
O2 O 0.000 0.500 0.000 1
O3 O 0.000 0.500 0.500 1
O4 O 0.500 0.500 0.237 1
```

***

Computed, not measured: a geometry-optimized TlPAuO structure at the PBE level of DFT.

## Properties
The value obtained for the energy relative to the elements, uncorrected is -0.558 eV/atom. For the total DFT energy (no corrections), the calculation gives -4.561 eV per atom. Its polymorph energy (0 for the lowest one) is 14 meV/atom. The total magnetization is 0.000 μB/atom.

Geometry as CIF:
```
data_TlPAuO
_chemical_formula_sum 'Tl1 P1 Au1 O1'
_cell_length_a 3.830
_cell_length_b 4.268
_cell_length_c 6.244
_cell_angle_alpha 91.76
_cell_angle_beta 90.10
_cell_angle_gamma 114.83
_space_group_name_H-M_alt 'P 1'
_space_group_IT_number 1
_space_group_name_Hall 'P 1'
loop_
_atom_site_label
_atom_site_type_symbol
_atom_site_fract_x
_atom_site_fract_y
_atom_site_fract_z
_atom_site_occupancy
Tl1 Tl 0.000 0.000 0.000 1
P1 P 0.684 0.388 0.440 1
Au1 Au 0.015 0.021 0.517 1
O1 O 0.681 0.385 0.183 1
```

***

Computed, not measured: a geometry-optimized LiYLuFe structure at the PBE level of DFT.

## Properties
For the total DFT energy (no corrections), the calculation gives -5.267 eV per atom. For the formation energy, the calculation gives 0.07 eV per atom. The total magnetization is 0.000 μB/atom.

Geometry as CIF:
```
data_LiYLuFe
_chemical_formula_sum 'Li4 Y4 Lu4 Fe4'
_cell_length_a 6.795
_cell_length_b 6.795
_cell_length_c 6.795
_cell_angle_alpha 90.00
_cell_angle_beta 90.00
_cell_angle_gamma 90.00
_space_group_name_H-M_alt 'F -4 3 m'
_space_group_IT_number 216
_space_group_name_Hall 'F -4 2 3'
loop_
_atom_site_label
_atom_site_type_symbol
_atom_site_fract_x
_atom_site_fract_y
_atom_site_fract_z
_atom_site_occupancy
Li1 Li 0.000 0.000 0.000 1
Y1 Y 0.250 0.250 0.750 1
Lu1 Lu 0.250 0.250 0.250 1
Fe1 Fe 0.000 0.000 0.500 1
```

***

Computed, not measured: a geometry-optimized AcGa2CuSn structure at the PBE level of DFT.

## Properties
For the total DFT energy (no corrections), the calculation gives -4.131 eV per atom. For the formation energy, the calculation gives -0.48 eV per atom. The total magnetization is 0.000 μB/atom.

Geometry as CIF:
```
data_AcGa2CuSn
_chemical_formula_sum 'Ac2 Ga4 Cu2 Sn2'
_cell_length_a 4.532
_cell_length_b 4.600
_cell_length_c 10.798
_cell_angle_alpha 90.00
_cell_angle_beta 90.00
_cell_angle_gamma 90.00
_space_group_name_H-M_alt 'I m m 2'
_space_group_IT_number 44
_space_group_name_Hall 'I 2 -2'
loop_
_atom_site_label
_atom_site_type_symbol
_atom_site_fract_x
_atom_site_fract_y
_atom_site_fract_z
_atom_site_occupancy
Ac1 Ac 0.000 0.000 0.000 1
Ga1 Ga 0.000 0.000 0.404 1
Ga2 Ga 0.000 0.500 0.249 1
Cu1 Cu 0.000 0.000 0.630 1
Sn1 Sn 0.000 0.500 0.749 1
```

***

Computed, not measured: a geometry-optimized MnZn2I8 structure at the PBE level of DFT.

## Properties
The value obtained for the energy relative to the elements, uncorrected is -0.360 eV/atom. For the total DFT energy (no corrections), the calculation gives -2.553 eV per atom. The total magnetization is 0.267 μB/atom.

Geometry as CIF:
```
data_MnZn2I8
_chemical_formula_sum 'Mn2 Zn4 I16'
_cell_length_a 14.631
_cell_length_b 9.365
_cell_length_c 7.446
_cell_angle_alpha 90.00
_cell_angle_beta 98.21
_cell_angle_gamma 90.00
_space_group_name_H-M_alt 'C 1 2/m 1'
_space_group_IT_number 12
_space_group_name_Hall '-C 2y'
loop_
_atom_site_label
_atom_site_type_symbol
_atom_site_fract_x
_atom_site_fract_y
_atom_site_fract_z
_atom_site_occupancy
Mn1 Mn 0.000 0.000 0.000 1
Zn1 Zn 0.197 0.000 0.227 1
I1 I 0.071 0.207 0.244 1
I2 I 0.145 0.500 0.593 1
I3 I 0.163 0.000 0.860 1
```

***

Computed, not measured: a geometry-optimized Th2Cl8F structure at the PBE level of DFT.

## Properties
The value obtained for the energy relative to the elements, uncorrected is -2.093 eV/atom. For the total DFT energy (no corrections), the calculation gives -4.955 eV per atom. The total magnetization is 0.087 μB/atom.

Geometry as CIF:
```
data_Th2Cl8F
_chemical_formula_sum 'Th4 Cl16 F2'
_cell_length_a 12.066
_cell_length_b 8.613
_cell_length_c 6.615
_cell_angle_alpha 90.00
_cell_angle_beta 104.41
_cell_angle_gamma 90.00
_space_group_name_H-M_alt 'C 1 2/m 1'
_space_group_IT_number 12
_space_group_name_Hall '-C 2y'
loop_
_atom_site_label
_atom_site_type_symbol
_atom_site_fract_x
_atom_site_fract_y
_atom_site_fract_z
_atom_site_occupancy
Th1 Th 0.198 0.000 0.014 1
Cl1 Cl 0.111 0.000 0.572 1
Cl2 Cl 0.151 0.301 0.126 1
Cl3 Cl 0.152 0.500 0.637 1
F1 F 0.000 0.000 0.000 1
```

***

Computed, not measured: a geometry-optimized TcSnHF structure at the PBE level of DFT.

## Properties
For the total DFT energy (no corrections), the calculation gives -5.301 eV per atom. Its polymorph energy (0 for the lowest one) is 3 meV/atom. The total magnetization is 0.000 μB/atom.

Geometry as CIF:
```
data_TcSnHF
_chemical_formula_sum 'Tc2 Sn2 H2 F2'
_cell_length_a 5.820
_cell_length_b 3.354
_cell_length_c 6.330
_cell_angle_alpha 90.00
_cell_angle_beta 107.99
_cell_angle_gamma 90.00
_space_group_name_H-M_alt 'C 1 m 1'
_space_group_IT_number 8
_space_group_name_Hall 'C -2y'
loop_
_atom_site_label
_atom_site_type_symbol
_atom_site_fract_x
_atom_site_fract_y
_atom_site_fract_z
_atom_site_occupancy
Tc1 Tc 0.000 0.000 0.000 1
Sn1 Sn 0.265 0.500 0.292 1
H1 H 0.312 0.000 0.946 1
F1 F 0.375 0.500 0.635 1
```

***

Computed, not measured: a geometry-optimized Ta2OsAu structure at the PBE level of DFT.

## Properties
For the total DFT energy (no corrections), the calculation gives -9.672 eV per atom. For the formation energy, the calculation gives -0.12 eV per atom. Its polymorph energy (0 for the lowest one) is 24 meV/atom. The total magnetization is 0.000 μB/atom.

Geometry as CIF:
```
data_Ta2OsAu
_chemical_formula_sum 'Ta4 Os2 Au2'
_cell_length_a 5.705
_cell_length_b 7.780
_cell_length_c 3.036
_cell_angle_alpha 90.00
_cell_angle_beta 90.00
_cell_angle_gamma 90.00
_space_group_name_H-M_alt 'C m m m'
_space_group_IT_number 65
_space_group_name_Hall '-C 2 2'
loop_
_atom_site_label
_atom_site_type_symbol
_atom_site_fract_x
_atom_site_fract_y
_atom_site_fract_z
_atom_site_occupancy
Ta1 Ta 0.250 0.250 0.000 1
Os1 Os 0.000 0.000 0.500 1
Au1 Au 0.000 0.500 0.500 1
```

***

Computed, not measured: a geometry-optimized KZn2P structure at the PBE level of DFT.

## Properties
For the total DFT energy (no corrections), the calculation gives -2.370 eV per atom. For the formation energy, the calculation gives -0.11 eV per atom. The total magnetization is 0.000 μB/atom.

Geometry as CIF:
```
data_KZn2P
_chemical_formula_sum 'K1 Zn2 P1'
_cell_length_a 3.906
_cell_length_b 3.904
_cell_length_c 6.580
_cell_angle_alpha 90.00
_cell_angle_beta 91.40
_cell_angle_gamma 90.00
_space_group_name_H-M_alt 'P 1 m 1'
_space_group_IT_number 6
_space_group_name_Hall 'P -2y'
loop_
_atom_site_label
_atom_site_type_symbol
_atom_site_fract_x
_atom_site_fract_y
_atom_site_fract_z
_atom_site_occupancy
K1 K 0.000 0.000 0.000 1
Zn1 Zn 0.510 0.000 0.508 1
Zn2 Zn 0.983 0.500 0.507 1
P1 P 0.486 0.500 0.723 1
```

***

Look up the total magnetization of the second one. 1.200 μB/atom

***

Repeat the eighth record exactly.
Computed, not measured: a geometry-optimized MnZn2I8 structure at the PBE level of DFT.

## Properties
The value obtained for the energy relative to the elements, uncorrected is -0.360 eV/atom. For the total DFT energy (no corrections), the calculation gives -2.553 eV per atom. The total magnetization is 0.267 μB/atom.

Geometry as CIF:
```
data_MnZn2I8
_chemical_formula_sum 'Mn2 Zn4 I16'
_cell_length_a 14.631
_cell_length_b 9.365
_cell_length_c 7.446
_cell_angle_alpha 90.00
_cell_angle_beta 98.21
_cell_angle_gamma 90.00
_space_group_name_H-M_alt 'C 1 2/m 1'
_space_group_IT_number 12
_space_group_name_Hall '-C 2y'
loop_
_atom_site_label
_atom_site_type_symbol
_atom_site_fract_x
_atom_site_fract_y
_atom_site_fract_z
_atom_site_occupancy
Mn1 Mn 0.000 0.000 0.000 1
Zn1 Zn 0.197 0.000 0.227 1
I1 I 0.071 0.207 0.244 1
I2 I 0.145 0.500 0.593 1
I3 I 0.163 0.000 0.860 1
```

***

Repeat the fourth record exactly.
Computed, not measured: a geometry-optimized Mg6CuSnO8 structure at the PBE level of DFT.

## Properties
The value obtained for the energy relative to the elements, uncorrected is -2.130 eV/atom. For the total DFT energy (no corrections), the calculation gives -5.713 eV per atom. Its polymorph energy (0 for the lowest one) is 0 meV/atom. The total magnetization is 0.000 μB/atom.

Geometry as CIF:
```
data_Mg6CuSnO8
_chemical_formula_sum 'Mg6 Cu1 Sn1 O8'
_cell_length_a 4.346
_cell_length_b 4.346
_cell_length_c 8.983
_cell_angle_alpha 90.00
_cell_angle_beta 90.00
_cell_angle_gamma 90.00
_space_group_name_H-M_alt 'P 4/m m m'
_space_group_IT_number 123
_space_group_name_Hall '-P 4 2'
loop_
_atom_site_label
_atom_site_type_symbol
_atom_site_fract_x
_atom_site_fract_y
_atom_site_fract_z
_atom_site_occupancy
Mg1 Mg 0.000 0.000 0.000 1
Mg2 Mg 0.000 0.500 0.237 1
Mg3 Mg 0.500 0.500 0.000 1
Cu1 Cu 0.000 0.000 0.500 1
Sn1 Sn 0.500 0.500 0.500 1
O1 O 0.000 0.000 0.230 1
O2 O 0.000 0.500 0.000 1
O3 O 0.000 0.500 0.500 1
O4 O 0.500 0.500 0.237 1
```

***

What is the total DFT energy (no corrections) in the fourth record? -5.713 eV per atom